Density functional theory data (PBE) for a relaxed structure of PmBi3.

Properties
Space-group type: Immm, No. 71
ΔH_f (0 K): -431 meV per atom
Magnetic moment: 0.0 μB/f.u.

Cell and atoms, written as POSCAR:
```
PmBi3
1.0
-4.448 1.109 -1.023
0.441 -2.100 -4.196
0.279 -4.351 4.854
Bi Pm
3 1
Cartesian
-0.677 -3.294 -0.626
-2.040 -0.322 -2.261
-3.125 -1.697 0.964
0.405 -1.926 -3.848
```